1.
# LiOsAu3O4

A relaxed LiOsAu3O4 crystal (GGA-PBE, OQMD via LeMat-Bulk).

Cell and atoms, written as POSCAR:
```
LiOsAu3O4
1.0
5.2033 0.0000 0.0000
0.0000 5.2033 0.0000
0.0000 0.0000 5.2033
Au Li O Os
3 1 4 1
direct
0.5000 0.5000 0.0000
0.5000 0.0000 0.5000
0.0000 0.5000 0.5000
0.0000 0.0000 0.0000
0.2360 0.2360 0.2360
0.7640 0.7640 0.2360
0.7640 0.2360 0.7640
0.2360 0.7640 0.7640
0.5000 0.5000 0.5000
```

Properties
Its symmetry is P-43m, No. 215. For the electronic total energy, the calculation gives -0.320 Ry per atom.

2.
# DyTeNO

A relaxed DyTeNO crystal (GGA-PBE, OQMD via LeMat-Bulk).

Cell and atoms, written as POSCAR:
```
DyTeNO
1.0
-1.6179 3.2502 0.3330
-5.3802 -2.9154 2.3157
2.3984 0.5519 6.2671
Dy N O Te
2 2 2 2
direct
0.0000 0.5063 0.3196
0.0000 0.0063 0.6804
0.0000 0.8535 0.3683
0.0000 0.3535 0.6317
0.5000 0.3852 0.1996
0.5000 0.8852 0.8004
0.5000 0.0090 0.2753
0.5000 0.5090 0.7247
```

Properties
The value obtained for the energy above the lowest structure with this stoichiometry is 451 meV/atom. Its symmetry is Pmc2_1, No. 26.

3.
# HgTePdO

A relaxed HgTePdO crystal (GGA-PBE, OQMD via LeMat-Bulk).

Cell and atoms, written as POSCAR:
```
HgTePdO
1.0
-1.5272 0.4657 -6.1330
-8.4166 -6.7058 1.5867
-5.5860 7.4745 1.9585
Hg O Pd Te
8 8 8 8
direct
0.7457 0.1489 0.0114
0.7543 0.6489 0.0114
0.2457 0.1489 0.4886
0.2543 0.6489 0.4886
0.7457 0.3511 0.5114
0.7543 0.8511 0.5114
0.2457 0.3511 0.9886
0.2543 0.8511 0.9886
0.2482 0.1554 0.1177
0.2517 0.6554 0.1177
0.7482 0.1554 0.3823
0.7518 0.6554 0.3823
0.2482 0.3446 0.6177
0.2517 0.8446 0.6177
0.7482 0.3446 0.8823
0.7518 0.8446 0.8823
0.9977 0.1587 0.2494
0.5023 0.6587 0.2494
0.4977 0.1587 0.2506
0.0023 0.6587 0.2506
0.9977 0.3413 0.7494
0.5023 0.8413 0.7494
0.4977 0.3413 0.7506
0.0023 0.8413 0.7506
0.5012 0.4093 0.2496
0.9988 0.9093 0.2496
0.0012 0.4093 0.2504
0.4988 0.9093 0.2504
0.5012 0.0907 0.7496
0.9988 0.5907 0.7496
0.0012 0.0907 0.7504
0.4988 0.5907 0.7504
```

Properties
The value obtained for the energy above the lowest structure with this stoichiometry is 120 meV/atom. Its symmetry is Pbca, No. 61.

4.
# Pr3Sn2PdPt2Pb

A relaxed Pr3Sn2PdPt2Pb crystal (GGA-PBE, OQMD via LeMat-Bulk).

Cell and atoms, written as POSCAR:
```
Pr3Sn2PdPt2Pb
1.0
-1.9375 3.4620 -1.3001
-5.6238 -1.2091 5.1614
6.1664 4.2047 2.0067
Pb Pd Pr Pt Sn
1 1 3 2 2
direct
0.0000 0.2515 0.2515
0.5000 0.9875 0.9875
0.5000 0.9982 0.4122
0.5000 0.5890 0.5890
0.5000 0.4122 0.9982
0.0000 0.6777 0.3365
0.0000 0.3365 0.6777
0.0000 0.9988 0.7485
0.0000 0.7485 0.9988
```

Properties
Its symmetry is Amm2, No. 38. For the electronic total energy, the calculation gives -0.423 Ry per atom.

5.
# Gd2TmAl3NiGe2

A relaxed Gd2TmAl3NiGe2 crystal (GGA-PBE, OQMD via LeMat-Bulk).

Cell and atoms, written as POSCAR:
```
Gd2TmAl3NiGe2
1.0
4.1882 0.0000 0.0000
0.0000 6.0157 3.4775
0.0000 -6.0157 3.4775
Al Gd Ge Ni Tm
3 2 2 1 1
direct
0.5000 0.2291 0.0017
0.5000 0.0017 0.2291
0.5000 0.7706 0.7706
0.0000 0.9990 0.5962
0.0000 0.5962 0.9990
0.5000 0.6623 0.3345
0.5000 0.3345 0.6623
0.0000 0.0050 0.0050
0.0000 0.4015 0.4015
```

Properties
Its symmetry is Amm2, No. 38. For the electronic total energy, the calculation gives -0.380 Ry per atom.

6.
# TbYSe2

A relaxed TbYSe2 crystal (GGA-PBE, OQMD via LeMat-Bulk).

Cell and atoms, written as POSCAR:
```
TbYSe2
1.0
-2.7468 2.9755 -0.5084
-0.7690 -0.0250 4.0081
4.1317 3.9538 0.8174
Se Tb Y
2 1 1
direct
0.5000 0.5000 0.0000
0.0000 0.0000 0.5000
0.5000 0.5000 0.5000
0.0000 0.0000 0.0000
```

Properties
Its symmetry is P4/mmm, No. 123. For the electronic total energy, the calculation gives -0.462 Ry per atom.

7.
# Tl2NiGeCl6

A relaxed Tl2NiGeCl6 crystal (GGA-PBE, OQMD via LeMat-Bulk).

Cell and atoms, written as POSCAR:
```
Tl2NiGeCl6
1.0
1.3485 -5.7815 -3.8429
-4.1285 -5.7071 0.6303
-4.3363 -1.8277 -5.2790
Cl Ge Ni Tl
6 1 1 2
direct
0.7406 0.2594 0.2594
0.2594 0.7406 0.2594
0.7406 0.7406 0.2594
0.2594 0.2594 0.7406
0.7406 0.2594 0.7406
0.2594 0.7406 0.7406
0.0000 0.0000 0.0000
0.5000 0.5000 0.5000
0.2500 0.2500 0.2500
0.7500 0.7500 0.7500
```

Properties
Its symmetry is Fm-3m, No. 225. For the electronic total energy, the calculation gives -0.249 Ry per atom.

8.
# Cs2ZrAgI6

A relaxed Cs2ZrAgI6 crystal (GGA-PBE, OQMD via LeMat-Bulk).

Cell and atoms, written as POSCAR:
```
Cs2ZrAgI6
1.0
0.8833 -8.5437 -0.1111
-4.6977 -1.2790 7.0770
-2.8907 4.4578 -6.7498
Ag Cs I Zr
1 2 6 1
direct
0.0000 0.0000 0.0000
0.7500 0.2500 0.5000
0.2500 0.7500 0.5000
0.2666 0.2666 0.0000
0.7334 0.7334 0.0000
0.3072 0.8019 0.1091
0.8019 0.6928 0.4947
0.1981 0.3072 0.5053
0.6928 0.1981 0.8909
0.5000 0.5000 0.0000
```

Properties
Its symmetry is I4/m, No. 87. For the electronic total energy, the calculation gives -0.237 Ry per atom.

Number 1: calculated volume 140.9 Å³/cell. Number 2: calculated volume 160.6 Å³/cell. Number 3: calculated volume 657.3 Å³/cell. Number 4: calculated volume 217.1 Å³/cell. Number 5: calculated volume 175.2 Å³/cell. Number 6: calculated volume 96.2 Å³/cell. Number 7: calculated volume 250.1 Å³/cell. Number 8: calculated volume 428.2 Å³/cell.